1.
NbGe2Se6: optimized geometry, PBE-GGA.

Summary:
uncorrected energy: -86.29 eV/cell
calculated volume: 473 Å³/cell
magnetic moment: 0.0 μB/cell
formation energy (no corrections): -326 meV/atom

Structure (POSCAR):
```
NbGe2Se6
1.0
6.355 -5.757 0.000
6.355 5.757 0.000
-1.274 0.000 6.466
Nb Ge Se
2 4 12
direct
0.125 0.875 0.750 Nb
0.875 0.125 0.250 Nb
0.222 0.381 0.662 Ge
0.381 0.222 0.162 Ge
0.619 0.778 0.838 Ge
0.778 0.619 0.338 Ge
0.024 0.182 0.623 Se
0.116 0.619 0.872 Se
0.182 0.024 0.123 Se
0.288 0.465 0.351 Se
0.381 0.884 0.628 Se
0.465 0.288 0.851 Se
0.535 0.712 0.149 Se
0.619 0.116 0.372 Se
0.712 0.535 0.649 Se
0.818 0.976 0.877 Se
0.884 0.381 0.128 Se
0.976 0.818 0.377 Se
```


2.
HOsS2: optimized geometry, PBE-GGA.

Summary:
uncorrected energy: -43.01 eV/cell
calculated volume: 117 Å³/cell
energy above the most stable polymorph in this dataset: 0.365 eV/atom
magnetic moment: 0.0 μB/cell

Structure (POSCAR):
```
HOsS2
1.0
-2.486 2.486 4.741
2.486 -2.486 4.741
2.486 2.486 -4.741
H Os S
2 2 4
direct
0.000 0.000 0.000 H
0.750 0.250 0.500 H
0.250 0.750 0.500 Os
0.500 0.500 0.000 Os
0.088 0.625 0.963 S
0.375 0.338 0.463 S
0.662 0.125 0.037 S
0.875 0.912 0.537 S
```


3.
Mn3Ag: optimized geometry, PBE-GGA.

Summary:
uncorrected energy: -28.33 eV/cell
energy relative to the elements: 0.507 eV per atom
calculated volume: 62 Å³/cell
magnetic moment: 11.0 μB/cell

Structure (POSCAR):
```
Mn3Ag
1.0
2.807 -3.921 0.000
2.807 3.921 0.000
0.000 0.000 2.837
Mn Ag
3 1
direct
0.000 0.000 0.000 Mn
0.000 0.500 0.500 Mn
0.500 0.000 0.500 Mn
0.500 0.500 0.000 Ag
```


4.
Ho3ScSe4: optimized geometry, PBE-GGA.

Summary:
uncorrected energy: -47.44 eV/cell
calculated volume: 183 Å³/cell
magnetic moment: 0.0 μB/cell
formation energy (no corrections): -1680 meV/atom

Structure (POSCAR):
```
Ho3ScSe4
1.0
-2.837 2.837 5.697
2.837 -2.837 5.697
2.837 2.837 -5.697
Ho Sc Se
3 1 4
direct
0.000 0.000 0.000 Ho
0.250 0.750 0.500 Ho
0.750 0.250 0.500 Ho
0.500 0.500 0.000 Sc
0.000 0.500 0.500 Se
0.255 0.255 0.000 Se
0.500 0.000 0.500 Se
0.745 0.745 0.000 Se
```


5.
CaInNi2: optimized geometry, PBE-GGA.

Summary:
uncorrected energy: -16.27 eV/cell
energy relative to the elements: 0.007 eV per atom
calculated volume: 70 Å³/cell
magnetic moment: 0.0 μB/cell

Structure (POSCAR):
```
CaInNi2
1.0
-1.965 1.965 4.529
1.965 -1.965 4.529
1.965 1.965 -4.529
Ca In Ni
1 1 2
direct
0.000 0.000 0.000 Ca
0.250 0.750 0.500 In
0.500 0.500 0.000 Ni
0.750 0.250 0.500 Ni
```


6.
AsIr2Cl: optimized geometry, PBE-GGA.

Summary:
uncorrected energy: -23.21 eV/cell
calculated volume: 82 Å³/cell
energy above the most stable polymorph in this dataset: 0.000 eV/atom
magnetic moment: 0.0 μB/cell
formation energy (no corrections): 252 meV/atom

Structure (POSCAR):
```
AsIr2Cl
1.0
4.005 -1.494 0.000
4.005 1.494 0.000
-3.364 0.000 6.875
As Ir Cl
1 2 1
direct
0.000 0.000 0.000 As
0.347 0.347 0.159 Ir
0.653 0.653 0.841 Ir
0.500 0.500 0.500 Cl
```


7.
PaNiPd2: optimized geometry, PBE-GGA.

Summary:
uncorrected energy: -27.18 eV/cell
energy relative to the elements: -0.380 eV per atom
calculated volume: 72 Å³/cell
energy above the most stable polymorph in this dataset: 0.100 eV/atom
magnetic moment: 0.0 μB/cell

Structure (POSCAR):
```
PaNiPd2
1.0
2.188 1.263 4.329
-2.188 1.263 4.329
0.000 -2.527 4.329
Pa Ni Pd
1 1 2
direct
0.000 0.000 0.000 Pa
0.500 0.500 0.500 Ni
0.222 0.222 0.222 Pd
0.778 0.778 0.778 Pd
```


8.
Ce2Co3Os: optimized geometry, PBE-GGA.

Summary:
uncorrected energy: -45.80 eV/cell
energy relative to the elements: -0.231 eV per atom
calculated volume: 95 Å³/cell
magnetic moment: 0.9 μB/cell

Structure (POSCAR):
```
Ce2Co3Os
1.0
2.557 1.476 4.186
-2.557 1.476 4.186
0.000 -2.952 4.186
Ce Co Os
2 3 1
direct
0.124 0.124 0.124 Ce
0.876 0.876 0.876 Ce
0.000 0.500 0.500 Co
0.500 0.000 0.500 Co
0.500 0.500 0.000 Co
0.500 0.500 0.500 Os
```